Computed, not measured: NiHgOs2 after structural relaxation at the PBE level of DFT.

Computed properties:
The calculated formation energy is 0.89 eV/atom. For the total energy, the calculation gives -6.25 eV per atom. As for the density of states at the Fermi level: 1.35 states/eV/atom.

Cell lengths 5.1651, 8.4297, 2.8090 Å; angles 90.00, 90.00, 90.00 degrees
Closest atoms and distances in Å follow each position.
Atoms (fractional coordinates):
1 Ni 0.0000 0.0000 0.0000  2 Hg 2.58, 2 Ni 2.81, 8 Os 2.84
2 Ni 0.5000 0.5000 0.0000  2 Hg 2.58, 2 Ni 2.81, 8 Os 2.84
3 Hg 0.0000 0.5000 0.0000  2 Ni 2.58, 2 Hg 2.81, 8 Os 2.84
4 Hg 0.5000 0.0000 0.0000  2 Ni 2.58, 2 Hg 2.81, 8 Os 2.84
5 Os 0.2500 0.2500 0.5000  4 Os 2.58-2.81, 4 Ni 2.84, 4 Hg 2.84
6 Os 0.2500 0.7500 0.5000  4 Os 2.58-2.81, 4 Hg 2.84, 4 Ni 2.84
7 Os 0.7500 0.2500 0.5000  4 Os 2.58-2.81, 4 Hg 2.84, 4 Ni 2.84
8 Os 0.7500 0.7500 0.5000  4 Os 2.58-2.81, 4 Ni 2.84, 4 Hg 2.84

Computed, not measured: NiHg2Os after structural relaxation at the PBE level of DFT.

Computed properties:
The energy above the lowest structure with this stoichiometry is 254 meV per atom. The calculated formation energy is 0.75 eV/atom. For the total energy, the calculation gives -3.65 eV per atom. As for the density of states at the Fermi level: 0.98 states/eV/atom.

Cell lengths 9.2446, 2.8531, 5.2128 Å; angles 90.00, 100.90, 90.00 degrees
Closest atoms and distances in Å follow each position.
Atoms (fractional coordinates):
1 Ni 0.0000 0.0000 0.0000  6 Hg 2.77-2.88, 2 Ni 2.85, 4 Os 2.97
2 Ni 0.5000 0.5000 0.0000  6 Hg 2.77-2.88, 2 Ni 2.85, 4 Os 2.97
3 Hg 0.2444 0.5000 0.2429  3 Ni 2.77-2.88, 3 Os 2.84-2.87, 6 Hg 2.85-3.02
4 Hg 0.2556 0.0000 0.7571  3 Ni 2.77-2.88, 3 Os 2.84-2.87, 6 Hg 2.85-3.02
5 Hg 0.7444 0.0000 0.2429  3 Ni 2.77-2.88, 3 Os 2.84-2.87, 6 Hg 2.85-3.02
6 Hg 0.7556 0.5000 0.7571  3 Ni 2.77-2.88, 3 Os 2.84-2.87, 6 Hg 2.85-3.02
7 Os 0.0000 0.5000 0.5000  6 Hg 2.84-2.87, 2 Os 2.85, 4 Ni 2.97
8 Os 0.5000 0.0000 0.5000  6 Hg 2.84-2.87, 2 Os 2.85, 4 Ni 2.97

Computed, not measured: NiHgOs4 after structural relaxation at the PBE level of DFT.

Computed properties:
The calculated formation energy is 1.02 eV/atom. For the total energy, the calculation gives -7.48 eV per atom. As for the density of states at the Fermi level: 1.48 states/eV/atom.

Cell lengths 5.1797, 5.1797, 5.1797 Å; angles 60.00, 60.00, 60.00 degrees
Closest atoms and distances in Å follow each position.
Atoms (fractional coordinates):
1 Ni 0.0000 0.0000 0.0000  12 Os 3.04, 4 Hg 3.17
2 Hg 0.2500 0.2500 0.2500  12 Os 3.04, 4 Ni 3.17
3 Os 0.1234 0.6255 0.6255  6 Os 2.58-2.60
4 Os 0.6255 0.1234 0.6255  6 Os 2.58-2.60
5 Os 0.6255 0.6255 0.1234  6 Os 2.58-2.60
6 Os 0.6255 0.6255 0.6255  6 Os 2.58-2.60

Computed, not measured: Ni2HgOs after structural relaxation at the PBE level of DFT.

Computed properties:
The calculated formation energy is 0.49 eV/atom. For the total energy, the calculation gives -5.28 eV per atom. As for the density of states at the Fermi level: 1.51 states/eV/atom.

Cell lengths 2.7193, 4.5130, 9.2711 Å; angles 90.00, 90.00, 90.00 degrees
Closest atoms and distances in Å follow each position.
Atoms (fractional coordinates):
1 Ni 0.0000 0.0000 0.0000  4 Ni 2.52-2.72, 4 Os 2.66, 2 Hg 2.79
2 Ni 0.0000 0.5000 0.2710  4 Ni 2.52-2.72, 2 Os 2.52, 4 Hg 2.64
3 Ni 0.5000 0.0000 0.7710  4 Ni 2.52-2.72, 2 Os 2.52, 4 Hg 2.64
4 Ni 0.5000 0.5000 0.5000  4 Ni 2.52-2.72, 4 Os 2.66, 2 Hg 2.79
5 Hg 0.0000 0.5000 0.7624  6 Ni 2.64-2.79, 2 Hg 2.72, 2 Os 2.92
6 Hg 0.5000 0.0000 0.2624  6 Ni 2.64-2.79, 2 Hg 2.72, 2 Os 2.92
7 Os 0.0000 0.0000 0.5415  6 Ni 2.52-2.66, 2 Os 2.72
8 Os 0.5000 0.5000 0.0415  6 Ni 2.52-2.66, 2 Os 2.72

Computed, not measured: NiHgOs after structural relaxation at the PBE level of DFT.

Computed properties:
The energy above the lowest structure with this stoichiometry is 151 meV per atom. The calculated formation energy is 0.65 eV/atom. For the total energy, the calculation gives -5.12 eV per atom. As for the density of states at the Fermi level: 1.31 states/eV/atom.

Cell lengths 2.8329, 4.7721, 13.9630 Å; angles 90.00, 90.00, 90.00 degrees
Closest atoms and distances in Å follow each position.
Atoms (fractional coordinates):
1 Ni 0.0000 0.0000 0.0000  2 Os 2.46, 2 Hg 2.72
2 Ni 0.0000 0.5000 0.5000  2 Os 2.46, 2 Hg 2.72
3 Ni 0.5000 0.0000 0.5000  2 Os 2.46, 2 Hg 2.72
4 Ni 0.5000 0.5000 0.0000  2 Os 2.46, 2 Hg 2.72
5 Hg 0.0000 0.0000 0.6667  2 Ni 2.72, 6 Hg 2.77-2.83, 2 Os 3.00
6 Hg 0.0000 0.5000 0.1667  2 Ni 2.72, 6 Hg 2.77-2.83, 2 Os 3.00
7 Hg 0.5000 0.0000 0.1667  2 Ni 2.72, 6 Hg 2.77-2.83, 2 Os 3.00
8 Hg 0.5000 0.5000 0.6667  2 Ni 2.72, 6 Hg 2.77-2.83, 2 Os 3.00
9 Os 0.0000 0.0000 0.3558  2 Ni 2.46
10 Os 0.0000 0.5000 0.8558  2 Ni 2.46
11 Os 0.5000 0.0000 0.8558  2 Ni 2.46
12 Os 0.5000 0.5000 0.3558  2 Ni 2.46

Computed, not measured: NiHg3Os after structural relaxation at the PBE level of DFT.

Computed properties:
The energy above the lowest structure with this stoichiometry is 22 meV per atom. The calculated formation energy is 1.37 eV/atom. For the total energy, the calculation gives -2.22 eV per atom. As for the density of states at the Fermi level: 1.44 states/eV/atom.

Cell lengths 5.2285, 5.2285, 5.2285 Å; angles 90.00, 90.00, 90.00 degrees
Closest atoms and distances in Å follow each position.
Atoms (fractional coordinates):
1 Ni 0.0000 0.0000 0.0000  12 Hg 3.70
2 Hg 0.0000 0.5000 0.5000  2 Os 2.61
3 Hg 0.5000 0.0000 0.5000  2 Os 2.61
4 Hg 0.5000 0.5000 0.0000  2 Os 2.61
5 Os 0.5000 0.5000 0.5000  6 Hg 2.61

Computed, not measured: NiHg3Os after structural relaxation at the PBE level of DFT.

Computed properties:
The energy above the lowest structure with this stoichiometry is 0 meV per atom. The calculated formation energy is 1.34 eV/atom. For the total energy, the calculation gives -2.24 eV per atom. As for the density of states at the Fermi level: 0.91 states/eV/atom.

Cell lengths 4.8751, 4.8751, 4.8751 Å; angles 90.00, 90.00, 90.00 degrees
Closest atoms and distances in Å follow each position.
Atoms (fractional coordinates):
1 Ni 0.0000 0.0000 0.0000  6 Hg 2.44
2 Hg 0.0000 0.0000 0.5000  2 Ni 2.44
3 Hg 0.0000 0.5000 0.0000  2 Ni 2.44
4 Hg 0.5000 0.0000 0.0000  2 Ni 2.44
5 Os 0.5000 0.5000 0.5000  12 Hg 3.45

Computed, not measured: NiHgOs2 after structural relaxation at the PBE level of DFT.

Computed properties:
The calculated formation energy is 0.78 eV/atom. For the total energy, the calculation gives -6.36 eV per atom. As for the density of states at the Fermi level: 1.62 states/eV/atom.

Cell lengths 2.7693, 4.7018, 9.5528 Å; angles 90.00, 90.00, 90.00 degrees
Closest atoms and distances in Å follow each position.
Atoms (fractional coordinates):
1 Ni 0.0000 0.0000 0.0000  4 Os 2.52, 6 Ni 2.73-2.77
2 Ni 0.5000 0.5000 0.0000  4 Os 2.52, 6 Ni 2.73-2.77
3 Hg 0.0000 0.0000 0.5000  6 Hg 2.73-2.77, 4 Os 3.01
4 Hg 0.5000 0.5000 0.5000  6 Hg 2.73-2.77, 4 Os 3.01
5 Os 0.0000 0.5000 0.2206  2 Ni 2.52, 6 Os 2.73-2.77
6 Os 0.0000 0.5000 0.7794  2 Ni 2.52, 6 Os 2.73-2.77
7 Os 0.5000 0.0000 0.2206  2 Ni 2.52, 6 Os 2.73-2.77
8 Os 0.5000 0.0000 0.7794  2 Ni 2.52, 6 Os 2.73-2.77

Computed, not measured: Ni2HgOs after structural relaxation at the PBE level of DFT.

Computed properties:
The calculated formation energy is 0.42 eV/atom. For the total energy, the calculation gives -5.35 eV per atom. As for the density of states at the Fermi level: 1.01 states/eV/atom.

Cell lengths 8.9568, 2.7206, 4.7513 Å; angles 90.00, 101.24, 90.00 degrees
Closest atoms and distances in Å follow each position.
Atoms (fractional coordinates):
1 Ni 0.0000 0.0000 0.0000  3 Os 2.54-2.62, 4 Ni 2.63-2.72, 4 Hg 2.73-2.75
2 Ni 0.2382 0.5000 0.2647  2 Os 2.53, 3 Hg 2.62-2.72, 4 Ni 2.63-2.72
3 Ni 0.5000 0.5000 0.0000  3 Os 2.54-2.62, 4 Ni 2.63-2.72, 4 Hg 2.73-2.75
4 Ni 0.7382 0.0000 0.2647  2 Os 2.53, 3 Hg 2.62-2.72, 4 Ni 2.63-2.72
5 Hg 0.4955 0.0000 0.4958  7 Ni 2.62-2.75, 2 Hg 2.72, 3 Os 2.86-2.92
6 Hg 0.9955 0.5000 0.4958  7 Ni 2.62-2.75, 2 Hg 2.72, 3 Os 2.86-2.92
7 Os 0.2606 0.0000 0.8269  5 Ni 2.53-2.62, 2 Os 2.72
8 Os 0.7607 0.5000 0.8269  5 Ni 2.53-2.62, 2 Os 2.72

Computed, not measured: NiHgOs after structural relaxation at the PBE level of DFT.

Computed properties:
The energy above the lowest structure with this stoichiometry is 0 meV per atom. The calculated formation energy is 0.50 eV/atom. For the total energy, the calculation gives -5.27 eV per atom. As for the density of states at the Fermi level: 0.65 states/eV/atom.

Cell lengths 2.8159, 2.8159, 6.7371 Å; angles 90.00, 90.00, 120.00 degrees
Closest atoms and distances in Å follow each position.
Atoms (fractional coordinates):
1 Ni 0.0000 0.0000 0.0000  3 Os 2.50, 3 Hg 2.80
2 Hg 0.3333 0.6667 0.6612  3 Ni 2.80, 6 Hg 2.82, 3 Os 3.02
3 Os 0.6667 0.3333 0.2827  3 Ni 2.50

Computed, not measured: NiHgOs2 after structural relaxation at the PBE level of DFT.

Computed properties:
The calculated formation energy is 0.83 eV/atom. For the total energy, the calculation gives -6.31 eV per atom. As for the density of states at the Fermi level: 1.60 states/eV/atom.

Cell lengths 6.2423, 6.2423, 6.2423 Å; angles 90.00, 90.00, 90.00 degrees
Closest atoms and distances in Å follow each position.
Atoms (fractional coordinates):
1 Ni 0.0000 0.0000 0.0000  4 Os 2.70, 4 Hg 2.70
2 Ni 0.0000 0.5000 0.5000  4 Os 2.70, 4 Hg 2.70
3 Ni 0.5000 0.0000 0.5000  4 Os 2.70, 4 Hg 2.70
4 Ni 0.5000 0.5000 0.0000  4 Os 2.70, 4 Hg 2.70
5 Hg 0.2500 0.2500 0.7500  4 Os 2.70, 4 Ni 2.70
6 Hg 0.2500 0.7500 0.2500  4 Os 2.70, 4 Ni 2.70
7 Hg 0.7500 0.2500 0.2500  4 Os 2.70, 4 Ni 2.70
8 Hg 0.7500 0.7500 0.7500  4 Os 2.70, 4 Ni 2.70
9 Os 0.0000 0.0000 0.5000  4 Hg 2.70, 4 Os 2.70
10 Os 0.0000 0.5000 0.0000  4 Hg 2.70, 4 Os 2.70
11 Os 0.2500 0.2500 0.2500  4 Os 2.70, 4 Ni 2.70
12 Os 0.2500 0.7500 0.7500  4 Os 2.70, 4 Ni 2.70
13 Os 0.5000 0.0000 0.0000  4 Hg 2.70, 4 Os 2.70
14 Os 0.5000 0.5000 0.5000  4 Hg 2.70, 4 Os 2.70
15 Os 0.7500 0.2500 0.7500  4 Os 2.70, 4 Ni 2.70
16 Os 0.7500 0.7500 0.2500  4 Os 2.70, 4 Ni 2.70

Computed, not measured: NiHgOs2 after structural relaxation at the PBE level of DFT.

Computed properties:
The calculated formation energy is 0.67 eV/atom. For the total energy, the calculation gives -6.46 eV per atom. As for the density of states at the Fermi level: 1.25 states/eV/atom.

Cell lengths 2.8014, 4.7580, 9.3772 Å; angles 90.00, 90.00, 90.00 degrees
Closest atoms and distances in Å follow each position.
Atoms (fractional coordinates):
1 Ni 0.0000 0.0000 0.0000  2 Os 2.54, 2 Hg 2.75, 6 Ni 2.76-2.80
2 Ni 0.5000 0.5000 0.0000  2 Os 2.54, 2 Hg 2.75, 6 Ni 2.76-2.80
3 Hg 0.0000 0.5000 0.2522  2 Ni 2.75, 6 Hg 2.76-2.80, 2 Os 3.03
4 Hg 0.5000 0.0000 0.2522  2 Ni 2.75, 6 Hg 2.76-2.80, 2 Os 3.03
5 Os 0.0000 0.0000 0.5391  8 Os 2.61-2.80
6 Os 0.0000 0.5000 0.7744  2 Ni 2.54, 8 Os 2.61-2.80
7 Os 0.5000 0.0000 0.7744  2 Ni 2.54, 8 Os 2.61-2.80
8 Os 0.5000 0.5000 0.5391  8 Os 2.61-2.80

Computed, not measured: NiHgOs2 after structural relaxation at the PBE level of DFT.

Computed properties:
The calculated formation energy is 0.36 eV/atom. For the total energy, the calculation gives -6.78 eV per atom. As for the density of states at the Fermi level: 1.09 states/eV/atom.

Cell lengths 2.8108, 2.8108, 7.6936 Å; angles 90.00, 90.00, 90.00 degrees
Closest atoms and distances in Å follow each position.
Atoms (fractional coordinates):
1 Ni 0.0000 0.0000 0.0000  4 Os 2.65, 4 Hg 2.81, 4 Ni 2.81
2 Hg 0.5000 0.5000 0.7419  4 Ni 2.81, 4 Hg 2.81, 4 Os 3.02
3 Os 0.0000 0.0000 0.4465  8 Os 2.61-2.81
4 Os 0.5000 0.5000 0.2276  8 Os 2.61-2.81, 4 Ni 2.65

Computed, not measured: NiHg2Os after structural relaxation at the PBE level of DFT.

Computed properties:
The energy above the lowest structure with this stoichiometry is 412 meV per atom. The calculated formation energy is 0.91 eV/atom. For the total energy, the calculation gives -3.49 eV per atom. As for the density of states at the Fermi level: 1.71 states/eV/atom.

Cell lengths 6.4823, 6.4823, 6.4823 Å; angles 90.00, 90.00, 90.00 degrees
Closest atoms and distances in Å follow each position.
Atoms (fractional coordinates):
1 Ni 0.0000 0.0000 0.0000  4 Hg 2.81, 4 Os 2.81
2 Ni 0.0000 0.5000 0.5000  4 Hg 2.81, 4 Os 2.81
3 Ni 0.5000 0.0000 0.5000  4 Hg 2.81, 4 Os 2.81
4 Ni 0.5000 0.5000 0.0000  4 Hg 2.81, 4 Os 2.81
5 Hg 0.0000 0.0000 0.5000  4 Hg 2.81, 4 Os 2.81
6 Hg 0.0000 0.5000 0.0000  4 Hg 2.81, 4 Os 2.81
7 Hg 0.2500 0.2500 0.7500  4 Ni 2.81, 4 Hg 2.81
8 Hg 0.2500 0.7500 0.2500  4 Ni 2.81, 4 Hg 2.81
9 Hg 0.5000 0.0000 0.0000  4 Hg 2.81, 4 Os 2.81
10 Hg 0.5000 0.5000 0.5000  4 Hg 2.81, 4 Os 2.81
11 Hg 0.7500 0.2500 0.2500  4 Ni 2.81, 4 Hg 2.81
12 Hg 0.7500 0.7500 0.7500  4 Ni 2.81, 4 Hg 2.81
13 Os 0.2500 0.2500 0.2500  4 Hg 2.81, 4 Ni 2.81
14 Os 0.2500 0.7500 0.7500  4 Hg 2.81, 4 Ni 2.81
15 Os 0.7500 0.2500 0.7500  4 Hg 2.81, 4 Ni 2.81
16 Os 0.7500 0.7500 0.2500  4 Hg 2.81, 4 Ni 2.81

Computed, not measured: NiHgOs2 after structural relaxation at the PBE level of DFT.

Computed properties:
The calculated formation energy is 0.68 eV/atom. For the total energy, the calculation gives -6.46 eV per atom. As for the density of states at the Fermi level: 0.84 states/eV/atom.

Cell lengths 2.9536, 2.9536, 6.9823 Å; angles 90.00, 90.00, 90.00 degrees
Closest atoms and distances in Å follow each position.
Atoms (fractional coordinates):
1 Ni 0.0000 0.0000 0.0000  8 Os 2.49
2 Hg 0.0000 0.0000 0.5000  4 Hg 2.95, 8 Os 2.99
3 Os 0.5000 0.5000 0.1929  4 Ni 2.49, 1 Os 2.69
4 Os 0.5000 0.5000 0.8071  4 Ni 2.49, 1 Os 2.69